# 1
This record from the Alexandria database describes a crystal of Ca3Co2Si4O14 relaxed with PBEsol. The functional is SCAN.

CIF file:
```
data_Ca3Co2Si4O14
_cell_length_a 16.739
_cell_length_b 7.566
_cell_length_c 9.908
_cell_angle_alpha 90.00
_cell_angle_beta 122.89
_cell_angle_gamma 90.00
_symmetry_space_group_name_H-M 'C 1 2/c 1'
_symmetry_Int_Tables_number 15
_symmetry_space_group_name_Hall '-C 2yc'
loop_
_atom_site_label
_atom_site_fract_x
_atom_site_fract_y
_atom_site_fract_z
_atom_site_occupancy
Ca1 0.000 0.152 0.250 1
Ca2 0.197 0.470 0.458 1
Co1 0.000 0.294 0.750 1
Co2 0.000 0.500 0.000 1
Si1 0.124 0.170 0.646 1
Si2 0.175 0.206 0.155 1
O1 0.050 0.102 0.688 1
O2 0.062 0.460 0.712 1
O3 0.084 0.303 0.493 1
O4 0.102 0.339 0.014 1
O5 0.165 0.000 0.090 1
O6 0.180 0.208 0.322 1
O7 0.220 0.239 0.819 1
```

Results
Its calculated volume is 1054 Å³ per cell. The uncorrected formation energy comes out at -2.80 eV per atom. The calculation puts the density at 3.621 g/cm3.

***

# 2
This record from the Alexandria database describes a crystal of Ca2CoSi2O7 relaxed with PBEsol. The functional is SCAN.

CIF file:
```
data_Ca2CoSi2O7
_cell_length_a 7.787
_cell_length_b 7.787
_cell_length_c 4.995
_cell_angle_alpha 90.00
_cell_angle_beta 90.00
_cell_angle_gamma 90.00
_symmetry_space_group_name_H-M 'P -4 21 m'
_symmetry_Int_Tables_number 113
_symmetry_space_group_name_Hall 'P -4 2ab'
loop_
_atom_site_label
_atom_site_fract_x
_atom_site_fract_y
_atom_site_fract_z
_atom_site_occupancy
Ca1 0.168 0.332 0.003 1
Co1 0.000 0.000 0.500 1
Si1 0.142 0.642 0.565 1
O1 0.000 0.500 0.685 1
O2 0.083 0.817 0.723 1
O3 0.142 0.642 0.243 1
```

Results
Its calculated volume is 303 Å³ per cell. The uncorrected formation energy comes out at -2.92 eV per atom. The calculation puts the density at 3.369 g/cm3.

***

# 3
This record from the Alexandria database describes a crystal of CaCo2Si4O12 relaxed with PBEsol. The functional is SCAN.

CIF file:
```
data_CaCo2Si4O12
_cell_length_a 9.524
_cell_length_b 8.683
_cell_length_c 5.234
_cell_angle_alpha 90.00
_cell_angle_beta 107.24
_cell_angle_gamma 90.00
_symmetry_space_group_name_H-M 'C 1 2 1'
_symmetry_Int_Tables_number 5
_symmetry_space_group_name_Hall 'C 2y'
loop_
_atom_site_label
_atom_site_fract_x
_atom_site_fract_y
_atom_site_fract_z
_atom_site_occupancy
Ca1 0.000 0.000 0.000 1
Co1 0.000 0.212 0.500 1
Co2 0.000 0.407 0.000 1
Si1 0.210 0.892 0.530 1
Si2 0.211 0.708 0.029 1
O1 0.108 0.216 0.871 1
O2 0.109 0.369 0.384 1
O3 0.135 0.060 0.439 1
O4 0.146 0.795 0.247 1
O5 0.146 0.816 0.760 1
O6 0.154 0.535 0.974 1
```

Results
Its calculated volume is 413 Å³ per cell. The uncorrected formation energy comes out at -2.59 eV per atom. The calculation puts the density at 3.714 g/cm3.

***

# 4
This record from the Alexandria database describes a crystal of Ca8Zn3CoSi8O28 relaxed with PBEsol. The functional is SCAN.

CIF file:
```
data_Ca8Zn3CoSi8O28
_cell_length_a 11.038
_cell_length_b 11.038
_cell_length_c 4.992
_cell_angle_alpha 90.00
_cell_angle_beta 90.00
_cell_angle_gamma 90.00
_symmetry_space_group_name_H-M 'P -4'
_symmetry_Int_Tables_number 81
_symmetry_space_group_name_Hall 'P -4'
loop_
_atom_site_label
_atom_site_fract_x
_atom_site_fract_y
_atom_site_fract_z
_atom_site_occupancy
Ca1 0.082 0.755 0.003 1
Ca2 0.255 0.418 0.996 1
Zn1 0.000 0.000 0.500 1
Zn2 0.000 0.500 0.500 1
Co1 0.500 0.500 0.500 1
Si1 0.109 0.248 0.435 1
Si2 0.252 0.608 0.565 1
O1 0.047 0.364 0.281 1
O2 0.054 0.131 0.274 1
O3 0.109 0.246 0.757 1
O4 0.136 0.547 0.719 1
O5 0.250 0.251 0.315 1
O6 0.255 0.608 0.243 1
O7 0.370 0.553 0.726 1
```

Results
Its calculated volume is 608 Å³ per cell. The uncorrected formation energy comes out at -2.99 eV per atom. The calculation puts the density at 3.409 g/cm3.

***

# 5
This record from the Alexandria database describes a crystal of CaSmCoO4 relaxed with PBEsol. The functional is SCAN.

CIF file:
```
data_CaSmCoO4
_cell_length_a 5.143
_cell_length_b 11.643
_cell_length_c 5.340
_cell_angle_alpha 90.00
_cell_angle_beta 90.00
_cell_angle_gamma 90.00
_symmetry_space_group_name_H-M 'C m c 21'
_symmetry_Int_Tables_number 36
_symmetry_space_group_name_Hall 'C 2c -2'
loop_
_atom_site_label
_atom_site_fract_x
_atom_site_fract_y
_atom_site_fract_z
_atom_site_occupancy
Ca1 0.000 0.104 0.000 1
Sm1 0.000 0.386 0.028 1
Co1 0.000 0.251 0.513 1
O1 0.000 0.088 0.560 1
O2 0.000 0.420 0.466 1
O3 0.245 0.227 0.256 1
```

Results
Its calculated volume is 320 Å³ per cell. The uncorrected formation energy comes out at -2.81 eV per atom. The calculation puts the density at 6.509 g/cm3.

***

# 6
This record from the Alexandria database describes a crystal of Ca2Ta2CoO8 relaxed with PBEsol. The functional is SCAN.

CIF file:
```
data_Ca2Ta2CoO8
_cell_length_a 18.534
_cell_length_b 6.268
_cell_length_c 5.352
_cell_angle_alpha 90.00
_cell_angle_beta 91.60
_cell_angle_gamma 90.00
_symmetry_space_group_name_H-M 'C 1 2/c 1'
_symmetry_Int_Tables_number 15
_symmetry_space_group_name_Hall '-C 2yc'
loop_
_atom_site_label
_atom_site_fract_x
_atom_site_fract_y
_atom_site_fract_z
_atom_site_occupancy
Ca1 0.207 0.182 0.244 1
Ta1 0.110 0.353 0.758 1
Co1 0.000 0.111 0.250 1
O1 0.055 0.146 0.578 1
O2 0.068 0.370 0.097 1
O3 0.181 0.447 0.501 1
O4 0.184 0.151 0.837 1
```

Results
Its calculated volume is 621 Å³ per cell. The uncorrected formation energy comes out at -2.85 eV per atom. The calculation puts the density at 6.723 g/cm3.

***

Number 1: magnetization 3.9 μB/f.u.. Number 2: magnetization 3.0 μB/f.u.. Number 3: magnetization 4.0 μB/f.u.. Number 4: magnetization 3.0 μB/f.u.. Number 5: magnetization 0.0 μB/f.u.. Number 6: magnetization 3.0 μB/f.u..